# 1
Here is a geometry-optimized Ce2NpGa structure from the Alexandria database. Energies are from GGA-PBE.

Cell: 3.612 3.612 8.267 Å, 77.38 77.38 60.00°
Atoms (fractional coordinates):
Ce  0.267  0.267  0.199
Np  0.000  0.000  0.000
Ce  0.733  0.733  0.801
Ga  0.500  0.500  0.500

## Properties
Raw total energy = -6.846 eV per atom
ΔH_f (0 K) = 0.11 eV per atom
Magnetic moment = 0.00 μB/atom
Excess energy over the best structure of this formula in the dataset = 171 meV/atom
V = 90.4 Å³/f.u.



# 2
Here is a geometry-optimized CeNpGa2 structure from the Alexandria database. Energies are from GGA-PBE.

Cell: 5.065 5.065 5.066 Å, 60.01 60.01 60.00°
Each line ends with the local moment (μB).
Atoms (fractional coordinates):
Ga  0.250  0.250  0.250  -0.01
Np  0.000  0.000  0.000  3.88
Ga  0.750  0.750  0.750  -0.01
Ce  0.500  0.500  0.500  0.21

## Properties
Raw total energy = -6.398 eV per atom
ΔH_f (0 K) = -0.17 eV per atom
Magnetic moment = 1.11 μB/atom
Excess energy over the best structure of this formula in the dataset = 79 meV/atom
V = 91.9 Å³/f.u.



# 3
Here is a geometry-optimized Ce2NpGa structure from the Alexandria database. Energies are from GGA-PBE.

Cell: 3.766 3.766 6.732 Å, 90.00 90.00 90.00°
Each line ends with the local moment (μB).
Atoms (fractional coordinates):
Ga  0.500  0.500  0.500  -0.04
Np  0.500  0.500  0.000  3.91
Ce  0.000  0.000  0.740  0.65
Ce  0.000  0.000  0.260  0.65

## Properties
Raw total energy = -6.955 eV per atom
ΔH_f (0 K) = 0.00 eV per atom
Magnetic moment = 1.43 μB/atom
Excess energy over the best structure of this formula in the dataset = 61 meV/atom
V = 95.5 Å³/f.u.



# 4
Here is a geometry-optimized Ce2NpGa structure from the Alexandria database. Energies are from GGA-PBE.

Cell: 5.120 5.120 5.120 Å, 60.00 60.00 60.00°
Each line ends with the local moment (μB).
Atoms (fractional coordinates):
Ce  0.250  0.250  0.250  1.06
Np  0.500  0.500  0.500  4.53
Ce  0.750  0.750  0.750  1.06
Ga  0.000  0.000  0.000  -0.10

## Properties
Raw total energy = -6.963 eV per atom
ΔH_f (0 K) = 0.00 eV per atom
Magnetic moment = 1.90 μB/atom
Excess energy over the best structure of this formula in the dataset = 53 meV/atom
V = 94.9 Å³/f.u.



# 5
Here is a geometry-optimized Ce2NpGa structure from the Alexandria database. Energies are from GGA-PBE.

Cell: 4.302 4.704 4.704 Å, 90.00 90.00 90.00°
Each line ends with the local moment (μB).
Atoms (fractional coordinates):
Ce  0.000  0.000  0.500  0.74
Np  0.500  0.000  0.000  4.02
Ce  0.000  0.500  0.000  0.74
Ga  0.500  0.500  0.500  -0.04

## Properties
Raw total energy = -7.017 eV per atom
ΔH_f (0 K) = -0.06 eV per atom
Magnetic moment = 1.52 μB/atom
Excess energy over the best structure of this formula in the dataset = 0 meV/atom
V = 95.2 Å³/f.u.



# 6
Here is a geometry-optimized CeNpGa2 structure from the Alexandria database. Energies are from GGA-PBE.

Cell: 3.095 3.095 8.947 Å, 90.00 90.00 90.00°
Each line ends with the local moment (μB).
Atoms (fractional coordinates):
Ga  0.000  0.000  0.246  -0.03
Ga  0.000  0.000  0.754  -0.03
Np  0.500  0.500  0.000  3.99
Ce  0.500  0.500  0.500  -0.27

## Properties
Raw total energy = -6.477 eV per atom
ΔH_f (0 K) = -0.25 eV per atom
Magnetic moment = 0.96 μB/atom
Excess energy over the best structure of this formula in the dataset = 0 meV/atom
V = 85.7 Å³/f.u.